## PrGdEr2 (GGA-PBE)

Data for PrGdEr2 after structural relaxation.

```
PrGdEr2
1.0
5.078 0.000 0.000
0.000 5.078 0.000
0.000 0.000 5.015
Pr Gd Er
1 1 2
Direct
0.000 0.000 0.000
0.500 0.500 0.000
0.000 0.500 0.500
0.500 0.000 0.500
```

The calculation puts the energy relative to the elements at 2 kJ/mol of atoms. The excess energy over the best structure of this formula in the dataset comes out at 0 meV/atom. Its crystal system is tetragonal. The volume comes out at 129 Å³ per cell. Its magnetic moment is 7.3 μB per formula unit.